Pm2Ga2O5, optimized geometry, DFT PBE; total magnetization = 0.00 μB/cell; ρ = 5.98 g cm⁻³
1.0
9.122 0.000 0.000
0.000 3.939 0.000
0.000 0.000 3.939
Ga O Pm
2 5 2
direct
0.000 0.000 0.000
0.500 0.000 0.000
0.135 0.500 0.000
0.865 0.500 0.000
0.135 0.000 0.500
0.865 0.000 0.500
0.500 0.500 0.500
0.246 0.500 0.500
0.754 0.500 0.500

ScZnFeGe, optimized geometry, DFT PBE; total magnetization = 1.68 μB/cell; ρ = 6.61 g cm⁻³
1.0
-1.288 -3.986 1.332
-3.884 -1.600 -1.292
-0.162 -3.329 -2.866
Fe Ge Sc Zn
1 1 1 1
direct
0.750 0.750 0.750
0.250 0.250 0.250
0.500 0.500 0.500
0.000 0.000 0.000

no.,E_tot (eV/atom)
1,-6.401
2,-5.162